# ThTl3 | OQMD | PBE | optimized geometry
data_ThTl3
_symmetry_space_group_name_H-M 'P m -3 m'
_symmetry_Int_Tables_number 221
_symmetry_space_group_name_Hall '-P 4 2 3'
_cell_length_a 4.8297
_cell_length_b 4.8297
_cell_length_c 4.8297
_cell_angle_alpha 90.00
_cell_angle_beta 90.00
_cell_angle_gamma 90.00
loop_
_atom_site_label
_atom_site_fract_x
_atom_site_fract_y
_atom_site_fract_z
_atom_site_occupancy
Th1 0.0000 0.0000 0.0000 1
Tl1 0.0000 0.5000 0.5000 1
# - spin magnetization (Bohr magnetons per cell) = 0.01
# - raw total energy (eV per cell) = -15.139